[1]
Compound: ErScCd
Source: Alexandria via LeMat-Bulk
Functional: PBE
Structure: relaxed

Cell lengths 5.1616, 5.1616, 6.5187 Å; angles 90.00, 90.00, 120.00 degrees
Last column: nearest neighbours and their distance in Å.
Space group P6_3/mmc (No. 194)
Asymmetric unit:
Er 0.3333 0.6667 0.2500 (multiplicity 2)  5 Cd 2.98-3.26
Sc 0.0000 0.0000 0.0000 (multiplicity 2)  2 Sc 3.26, 6 Cd 3.40, 6 Er 3.40
Cd 0.3333 0.6667 0.7500 (multiplicity 2)  5 Er 2.98-3.26

Summary:
**Calculated density**: 7.169 Mg/m³
**Calculated formation energy**: -0.1824 eV/atom
**Total moment**: 0.0 μB/f.u.
**Total DFT energy (no corrections)**: -24.71 eV for the cell shown

[2]
Compound: LaMnCuSe3
Source: Alexandria via LeMat-Bulk
Functional: PBE
Structure: relaxed

Cell lengths 7.9402, 4.0159, 8.7993 Å; angles 90.00, 103.47, 90.00 degrees
Last column: nearest neighbours and their distance in Å.
Space group P2_1/m (No. 11)
Asymmetric unit:
La 0.1925 0.2500 0.2458 (multiplicity 2)  7 Se 3.02-3.25, 1 Cu 3.29
Mn 0.3330 0.7500 0.8447 (multiplicity 2)  6 Se 2.66-2.76
Cu 0.0804 0.2500 0.5826 (multiplicity 2)  4 Se 2.47-2.54, 2 Cu 2.63
Se 0.1006 0.2500 0.8665 (multiplicity 2)  1 Cu 2.47
Se 0.2453 0.7500 0.5237 (multiplicity 2)  3 Cu 2.52-2.54, 1 Mn 2.75
Se 0.4351 0.7500 0.1549 (multiplicity 2)  3 Mn 2.66-2.72

Summary:
**Calculated density**: 6.016 Mg/m³
**Formation energy (no corrections)**: -1016 meV/atom
**Total moment**: 5.0 μB/f.u.
**Total DFT energy (no corrections)**: -69.48 eV for the cell shown

[3]
Compound: LuPuTcRu
Source: Alexandria via LeMat-Bulk
Functional: PBE
Structure: relaxed

Cell lengths 6.7006, 6.7006, 6.7006 Å; angles 90.00, 90.00, 90.00 degrees
Last column: nearest neighbours and their distance in Å.
Space group F-43m (No. 216)
Asymmetric unit:
Lu 0.0000 0.0000 0.0000 (multiplicity 4)  4 Tc 2.90, 4 Ru 2.90
Pu 0.0000 0.0000 0.5000 (multiplicity 4)  4 Tc 2.90, 4 Ru 2.90
Tc 0.2500 0.2500 0.7500 (multiplicity 4)  4 Lu 2.90, 4 Pu 2.90
Ru 0.2500 0.2500 0.2500 (multiplicity 4)  4 Pu 2.90, 4 Lu 2.90

Summary:
**Calculated density**: 13.646 Mg/m³
**Calculated formation energy**: -0.2069 eV/atom
**Total moment**: 3.7 μB/f.u.
**Total DFT energy (no corrections)**: -157.29 eV for the cell shown

[4]
Compound: LiTlAu2
Source: Alexandria via LeMat-Bulk
Functional: PBE
Structure: relaxed

Cell lengths 3.3338, 3.3338, 25.5631 Å; angles 90.00, 90.00, 120.00 degrees
Last column: nearest neighbours and their distance in Å.
Space group R3m (No. 160, hexagonal axes)
Asymmetric unit:
Li 0.0000 0.0000 0.0000 (multiplicity 3)  3 Au 2.67
Tl 0.0000 0.0000 0.7564 (multiplicity 3)  3 Au 2.97, 3 Li 2.99
Au 0.0000 0.0000 0.2608 (multiplicity 3)  3 Li 2.67, 3 Au 2.86
Au 0.0000 0.0000 0.5114 (multiplicity 3)  3 Au 2.86, 3 Tl 2.97

Summary:
**Calculated density**: 12.254 Mg/m³
**Calculated formation energy**: -0.0717 eV/atom
**Total moment**: 0.0 μB/f.u.
**Total DFT energy (no corrections)**: -33.36 eV for the cell shown

[5]
Compound: MnFeSiGe
Source: Alexandria via LeMat-Bulk
Functional: PBE
Structure: relaxed

Cell lengths 8.6802, 2.8458, 5.0489 Å; angles 90.00, 125.43, 90.00 degrees
Last column: nearest neighbours and their distance in Å.
Space group Cm (No. 8)
Asymmetric unit:
Mn 0.0000 0.0000 0.0000 (multiplicity 2)  3 Ge 2.38-2.45, 3 Si 2.41
Fe 0.0867 0.5000 0.5882 (multiplicity 2)  3 Si 2.38-2.45, 3 Ge 2.40-2.43
Si 0.2904 0.0000 0.0400 (multiplicity 2)  3 Fe 2.38-2.45, 3 Mn 2.41, 2 Ge 2.45-2.60
Ge 0.2913 0.0000 0.5262 (multiplicity 2)  3 Mn 2.38-2.45, 3 Fe 2.40-2.43, 2 Si 2.45-2.60

Summary:
**Calculated density**: 6.912 Mg/m³
**Formation energy (no corrections)**: -141 meV/atom
**Total moment**: 2.4 μB/f.u.
**Total DFT energy (no corrections)**: -56.47 eV for the cell shown

[6]
Compound: Tc2Mo
Source: Alexandria via LeMat-Bulk
Functional: PBE
Structure: relaxed

Cell lengths 6.3504, 6.3504, 4.1351 Å; angles 90.00, 90.00, 120.00 degrees
Last column: nearest neighbours and their distance in Å.
Space group P-62m (No. 189)
Asymmetric unit:
Tc 0.0000 0.2479 0.0000 (multiplicity 3)  4 Mo 2.43-2.60
Tc 0.0000 0.5832 0.5000 (multiplicity 3)  5 Mo 2.65-2.81
Mo 0.0000 0.0000 0.5000 (multiplicity 1)  9 Tc 2.60-2.65
Mo 0.3333 0.6667 0.0000 (multiplicity 2)  3 Tc 2.43

Summary:
**Calculated density**: 10.071 Mg/m³
**Calculated formation energy**: 0.4553 eV/atom
**Total moment**: 0.0 μB/f.u.
**Total DFT energy (no corrections)**: -90.59 eV for the cell shown